Computed, not measured: crystalline RbMn3C4O12 at its relaxed geometry at the PBE with a Hubbard U level of DFT.

Calculated values
Magnetization in μB per cell: 14.00
VASP energy in eV per atom: -7.538
Fermi-level density of states in states/eV/f.u.: 5.2

Cell lengths 6.370, 6.370, 6.370 Å; angles 100.96, 100.96, 100.96 degrees
Element x y z (fractional)
Mn 0.540 0.460 0.000
O 0.011 0.209 0.425
O 0.903 0.500 0.097
C 0.500 0.961 0.039
O 0.425 0.011 0.209
C 0.961 0.039 0.500
O 0.500 0.097 0.903
O 0.209 0.425 0.011
O 0.989 0.575 0.791
C 0.039 0.500 0.961
O 0.632 0.500 0.368
Mn 0.000 0.540 0.460
Rb 0.000 0.000 0.000
Mn 0.460 0.000 0.540
O 0.368 0.632 0.500
O 0.575 0.791 0.989
O 0.791 0.989 0.575
C 0.500 0.500 0.500
O 0.500 0.368 0.632
O 0.097 0.903 0.500